A plane-wave DFT calculation with GGA-PBE was carried out for crystalline La3Cu3Sb4 at its relaxed geometry.

Results
calculated volume = 24.26 Å³/atom

Cell: 9.9005 9.9005 9.9005 Å, 90.00 90.00 90.00°
Last column: nearest neighbours and their distance in Å.
Space group I-43d (No. 220)
Symmetry-distinct sites (fractional):
La  0.0000  0.2500  0.8750 (multiplicity 12)  4 Cu 3.03, 4 Sb 3.39
Cu  0.0000  0.2500  0.3750 (multiplicity 12)  4 Sb 2.75, 4 La 3.03
Sb  0.0797  0.4203  0.5797 (multiplicity 16)  3 Cu 2.75

A plane-wave DFT calculation with GGA-PBE was carried out for crystalline LaCu2Sb2 at its relaxed geometry.

Results
calculated volume = 24.57 Å³/atom

Cell: 9.4634 10.9000 6.6744 Å, 90.00 134.47 90.00°
Last column: nearest neighbours and their distance in Å.
Space group C2/c (No. 15)
Symmetry-distinct sites (fractional):
La  0.0000  0.1260  0.2500 (multiplicity 4)  6 Sb 3.23-3.42, 2 Cu 3.37
Cu  0.1465  0.3732  0.0425 (multiplicity 8)  4 Sb 2.61-2.62, 1 Cu 2.79
Sb  0.0000  0.1705  0.7500 (multiplicity 4)  4 Cu 2.61-2.62
Sb  0.0000  0.4237  0.2500 (multiplicity 4)  4 Cu 2.61-2.62

A plane-wave DFT calculation with GGA-PBE was carried out for crystalline LaCu2Sb at its relaxed geometry.

Results
calculated volume = 21.70 Å³/atom

Cell: 4.5082 4.5082 4.2700 Å, 90.00 90.00 90.00°
Last column: nearest neighbours and their distance in Å.
Space group P4/mmm (No. 123)
Symmetry-distinct sites (fractional):
La  0.0000  0.0000  0.0000 (multiplicity 1)  8 Cu 3.10, 4 Sb 3.19
Cu  0.0000  0.5000  0.5000 (multiplicity 2)  4 La 3.10, 4 Sb 3.10, 4 Cu 3.19
Sb  0.5000  0.5000  0.0000 (multiplicity 1)  8 Cu 3.10, 4 La 3.19

Number 1: E_form (uncorrected) -0.845 eV per atom, magnetic moment 0.000 μB/atom. Number 2: E_form (uncorrected) -0.381 eV per atom, magnetic moment 0.000 μB/atom. Number 3: E_form (uncorrected) -0.206 eV per atom, magnetic moment 0.000 μB/atom.